(1)
Below is an optimized crystal structure of Na3Sm2DyS6, with properties calculated at the PBE level.

Properties
For the total magnetic moment, the calculation gives 0.000 μB/atom. Its space group is No. 12. The theoretical density comes out at 4.23 g cm⁻³. The formation energy (no corrections) is -1.826 eV per atom.

Cell lengths 7.010, 7.010, 7.085 Å; angles 99.49, 99.49, 120.00 degrees
Fractional coordinates of all 12 atoms:
Na  0.000  0.000  0.000
Na  0.333  0.667  0.000
Na  0.667  0.333  0.000
Sm  0.167  0.833  0.500
Sm  0.833  0.167  0.500
Dy  0.500  0.500  0.500
S  0.095  0.423  0.270
S  0.248  0.248  0.729
S  0.423  0.095  0.270
S  0.577  0.905  0.730
S  0.752  0.752  0.271
S  0.905  0.577  0.730

(2)
Below is an optimized crystal structure of Zr2FeSi, with properties calculated at the PBE level.

Properties
For the total magnetic moment, the calculation gives 0.000 μB/atom. Its space group is No. 99. The theoretical density comes out at 6.56 g cm⁻³. The formation energy (no corrections) is -0.285 eV per atom.

Cell lengths 3.034, 3.034, 7.323 Å; angles 90.00, 90.00, 90.00 degrees
Fractional coordinates of all 4 atoms:
Zr  0.000  0.000  0.000
Zr  0.500  0.500  0.336
Fe  0.000  0.000  0.579
Si  0.500  0.500  0.731

(3)
Below is an optimized crystal structure of HgH8IrPt2, with properties calculated at the PBE level.

Properties
As for the total energy: -3.89 eV/atom. For the total magnetic moment, the calculation gives 0.000 μB/atom. Its space group is No. 12. The theoretical density comes out at 11.82 g cm⁻³.

Cell lengths 4.543, 4.543, 5.388 Å; angles 90.08, 90.08, 88.61 degrees
Fractional coordinates of all 12 atoms:
Hg  0.000  0.000  0.000
H  0.158  0.711  0.682
H  0.270  0.270  0.476
H  0.289  0.842  0.318
H  0.363  0.363  0.078
H  0.637  0.637  0.922
H  0.711  0.158  0.682
H  0.730  0.730  0.524
H  0.842  0.289  0.318
Ir  0.000  0.000  0.500
Pt  0.410  0.410  0.751
Pt  0.590  0.590  0.249

(4)
Below is an optimized crystal structure of SrCdGeP2, with properties calculated at the PBE level.

Properties
For the formation energy, the calculation gives -0.2895 eV per atom. For the total magnetic moment, the calculation gives 0.000 μB/atom. Its space group is No. 51. The theoretical density comes out at 4.90 g cm⁻³.

Cell lengths 6.024, 6.296, 5.976 Å; angles 90.00, 90.00, 90.00 degrees
Fractional coordinates of all 10 atoms:
Sr  0.250  0.000  0.248
Sr  0.750  0.000  0.752
Cd  0.250  0.500  0.445
Cd  0.750  0.500  0.555
Ge  0.000  0.500  0.000
Ge  0.500  0.500  0.000
P  0.250  0.181  0.759
P  0.250  0.819  0.759
P  0.750  0.181  0.241
P  0.750  0.819  0.241

(5)
Below is an optimized crystal structure of Pr5Th3H12, with properties calculated at the PBE level.

Properties
As for the total energy: -4.73 eV/atom. For the total magnetic moment, the calculation gives 0.000 μB/atom. Its space group is No. 230. The theoretical density comes out at 7.32 g cm⁻³.

Cell lengths 11.851, 11.851, 11.851 Å; angles 109.47, 109.47, 109.47 degrees
Fractional coordinates of all 80 atoms:
Pr  0.000  0.000  0.000
Pr  0.000  0.000  0.500
Pr  0.000  0.500  0.000
Pr  0.000  0.500  0.500
Pr  0.125  0.750  0.875
Pr  0.125  0.875  0.250
Pr  0.250  0.125  0.875
Pr  0.250  0.625  0.375
Pr  0.375  0.250  0.625
Pr  0.375  0.625  0.750
Pr  0.500  0.000  0.000
Pr  0.500  0.000  0.500
Pr  0.500  0.500  0.000
Pr  0.500  0.500  0.500
Pr  0.625  0.375  0.250
Pr  0.625  0.750  0.375
Pr  0.750  0.375  0.625
Pr  0.750  0.875  0.125
Pr  0.875  0.125  0.750
Pr  0.875  0.250  0.125
Th  0.125  0.250  0.375
Th  0.125  0.375  0.750
Th  0.250  0.375  0.125
Th  0.250  0.875  0.625
Th  0.375  0.125  0.250
Th  0.375  0.750  0.125
Th  0.625  0.250  0.875
Th  0.625  0.875  0.750
Th  0.750  0.125  0.375
Th  0.750  0.625  0.875
Th  0.875  0.625  0.250
Th  0.875  0.750  0.625
H  0.075  0.730  0.655
H  0.075  0.845  0.420
H  0.076  0.230  0.155
H  0.076  0.345  0.920
H  0.080  0.655  0.425
H  0.080  0.924  0.655
H  0.155  0.076  0.230
H  0.155  0.230  0.575
H  0.155  0.424  0.580
H  0.155  0.580  0.925
H  0.230  0.155  0.076
H  0.230  0.575  0.155
H  0.270  0.345  0.925
H  0.270  0.424  0.345
H  0.345  0.270  0.424
H  0.345  0.575  0.920
H  0.345  0.920  0.076
H  0.345  0.925  0.270
H  0.420  0.075  0.845
H  0.420  0.845  0.576
H  0.424  0.345  0.270
H  0.424  0.580  0.155
H  0.425  0.080  0.655
H  0.425  0.845  0.770
H  0.575  0.155  0.230
H  0.575  0.920  0.345
H  0.576  0.420  0.845
H  0.576  0.655  0.730
H  0.580  0.155  0.424
H  0.580  0.925  0.155
H  0.655  0.075  0.730
H  0.655  0.080  0.924
H  0.655  0.425  0.080
H  0.655  0.730  0.576
H  0.730  0.576  0.655
H  0.730  0.655  0.075
H  0.770  0.425  0.845
H  0.770  0.845  0.924
H  0.845  0.420  0.075
H  0.845  0.576  0.420
H  0.845  0.770  0.425
H  0.845  0.924  0.770
H  0.920  0.076  0.345
H  0.920  0.345  0.575
H  0.924  0.655  0.080
H  0.924  0.770  0.845
H  0.925  0.155  0.580
H  0.925  0.270  0.345

(6)
Below is an optimized crystal structure of KMgFe2, with properties calculated at the PBE level.

Properties
For the formation energy, the calculation gives 1.0582 eV per atom. For the total magnetic moment, the calculation gives 1.268 μB/atom. The offset from the most stable computed form is 574 meV/atom. Its space group is No. 65. The theoretical density comes out at 3.79 g cm⁻³.

Cell lengths 5.558, 5.558, 2.772 Å; angles 90.00, 90.00, 116.42 degrees
Fractional coordinates of all 4 atoms:
K  0.000  0.000  0.000
Mg  0.500  0.500  0.000
Fe  0.000  0.500  0.500
Fe  0.500  0.000  0.500

(7)
Below is an optimized crystal structure of CrCdH2, with properties calculated at the PBE level.

Properties
For the total magnetic moment, the calculation gives 0.750 μB/atom. The offset from the most stable computed form is 0 meV/atom. Its space group is No. 122. The theoretical density comes out at 6.22 g cm⁻³.

Cell lengths 5.611, 5.611, 5.611 Å; angles 134.37, 134.37, 66.51 degrees
Fractional coordinates of all 8 atoms:
Cr  0.000  0.000  0.000
Cr  0.750  0.250  0.500
Cd  0.250  0.750  0.500
Cd  0.500  0.500  0.000
H  0.010  0.625  0.885
H  0.375  0.260  0.385
H  0.740  0.125  0.115
H  0.875  0.990  0.615

(8)
Below is an optimized crystal structure of Pm2GePb, with properties calculated at the PBE level.

Properties
For the formation energy, the calculation gives -0.5833 eV per atom. For the total magnetic moment, the calculation gives 0.000 μB/atom. Its space group is No. 166. The theoretical density comes out at 7.73 g cm⁻³.

Cell lengths 8.305, 8.305, 8.305 Å; angles 29.43, 29.43, 29.43 degrees
Fractional coordinates of all 4 atoms:
Pm  0.237  0.237  0.237
Pm  0.763  0.763  0.763
Ge  0.500  0.500  0.500
Pb  0.000  0.000  0.000

(9)
Below is an optimized crystal structure of As2PtPb, with properties calculated at the PBE level.

Properties
For the formation energy, the calculation gives -0.0049 eV per atom. For the total magnetic moment, the calculation gives 0.000 μB/atom. Its space group is No. 44. The theoretical density comes out at 10.23 g cm⁻³.

Cell lengths 6.680, 6.680, 6.680 Å; angles 147.54, 145.76, 47.90 degrees
Fractional coordinates of all 4 atoms:
As  0.000  0.000  0.000
As  0.663  0.163  0.500
Pt  0.519  0.519  0.000
Pb  0.309  0.809  0.500

(10)
Below is an optimized crystal structure of K2Sb2Rh, with properties calculated at the PBE level.

Properties
For the total magnetic moment, the calculation gives 0.000 μB/atom. Its space group is No. 127. The theoretical density comes out at 4.95 g cm⁻³. The formation energy (no corrections) is -0.362 eV per atom.

Cell lengths 6.959, 6.959, 5.884 Å; angles 90.00, 90.00, 90.00 degrees
Fractional coordinates of all 10 atoms:
K  0.175  0.325  0.000
K  0.325  0.825  0.000
K  0.675  0.175  0.000
K  0.825  0.675  0.000
Sb  0.148  0.648  0.500
Sb  0.352  0.148  0.500
Sb  0.648  0.852  0.500
Sb  0.852  0.352  0.500
Rh  0.000  0.000  0.500
Rh  0.500  0.500  0.500

(11)
Below is an optimized crystal structure of IrRuSe2N, with properties calculated at the PBE level.

Properties
For the total magnetic moment, the calculation gives 0.298 μB/atom. The offset from the most stable computed form is 10 meV/atom. Its space group is No. 123. The theoretical density comes out at 8.34 g cm⁻³. The formation energy (no corrections) is 0.899 eV per atom.

Cell lengths 5.071, 5.071, 3.602 Å; angles 90.00, 90.00, 90.00 degrees
Fractional coordinates of all 5 atoms:
Ir  0.000  0.000  0.000
Ru  0.500  0.500  0.500
Se  0.000  0.500  0.000
Se  0.500  0.000  0.000
N  0.000  0.000  0.500

(12)
Below is an optimized crystal structure of MnZnRe3, with properties calculated at the PBE level.

Properties
For the formation energy, the calculation gives 1.5515 eV per atom. For the total magnetic moment, the calculation gives 0.000 μB/atom. The offset from the most stable computed form is 0 meV/atom. Its space group is No. 221. The theoretical density comes out at 13.01 g cm⁻³.

Cell lengths 4.426, 4.426, 4.426 Å; angles 90.00, 90.00, 90.00 degrees
Fractional coordinates of all 5 atoms:
Mn  0.000  0.000  0.000
Zn  0.500  0.500  0.500
Re  0.000  0.000  0.500
Re  0.000  0.500  0.000
Re  0.500  0.000  0.000

Repeat the twelfth record exactly.
Below is an optimized crystal structure of MnZnRe3, with properties calculated at the PBE level.

Properties
For the formation energy, the calculation gives 1.5515 eV per atom. For the total magnetic moment, the calculation gives 0.000 μB/atom. The offset from the most stable computed form is 0 meV/atom. Its space group is No. 221. The theoretical density comes out at 13.01 g cm⁻³.

Cell lengths 4.426, 4.426, 4.426 Å; angles 90.00, 90.00, 90.00 degrees
Fractional coordinates of all 5 atoms:
Mn  0.000  0.000  0.000
Zn  0.500  0.500  0.500
Re  0.000  0.000  0.500
Re  0.000  0.500  0.000
Re  0.500  0.000  0.000